Computed, not measured: crystalline NaPt3 at its relaxed geometry at the GGA-PBEsol level of DFT.

The structure in POSCAR format:
```
NaPt3
1.0
4.726 -1.349 0.000
4.726 1.349 0.000
-0.720 0.000 4.822
Na Pt
1 3
direct
0.000 0.000 0.000
0.243 0.243 0.743
0.500 0.500 0.500
0.757 0.757 0.257
```

Output
DOS at the Fermi energy: 4.287 states/eV per cell
Total magnetization: 0.0000 μB per atom
ρ: 16.43 g/cm3
DFT formation energy: -0.02 eV/atom
DFT total energy: -5.59 eV per atom